(1)
VASP calculation (PBEsol) on crystalline Ir2W2Au at its relaxed geometry.

As for the energy of formation: 0.508 eV/atom. The calculation puts the spin magnetization at 0.00 μB/atom. The crystal system is tetragonal. As for the space group: I4/mmm (139). The value obtained for the density of states at the Fermi level is 0.91 states/eV per atom.

abc: 3.786 3.786 6.561
angles: 106.77 106.77 90.00
Fractional positions:
Ir 0.750 0.250 0.500
Au 0.000 0.000 0.000
Ir 0.250 0.750 0.500
W 0.393 0.393 0.787
W 0.607 0.607 0.213


(2)
VASP calculation (PBEsol) on crystalline Ir2WAu at its relaxed geometry.

As for the energy of formation: 0.175 eV/atom. The calculation puts the spin magnetization at 0.00 μB/atom. The crystal system is tetragonal. As for the space group: P4/mmm (123). The value obtained for the density of states at the Fermi level is 0.86 states/eV per atom. The value obtained for the energy above the most stable polymorph in this dataset is 0.70 eV/f.u.

abc: 3.293 3.293 5.649
angles: 90.00 90.00 90.00
Fractional positions:
W 0.500 0.500 0.000
Au 0.500 0.500 0.500
Ir 0.000 0.000 0.241
Ir 0.000 0.000 0.759


(3)
VASP calculation (PBEsol) on crystalline IrWAu2 at its relaxed geometry.

As for the energy of formation: 0.479 eV/atom. The calculation puts the spin magnetization at 0.00 μB/atom. The crystal system is orthorhombic. As for the space group: Cmmm (65). The value obtained for the density of states at the Fermi level is 0.79 states/eV per atom. The value obtained for the energy above the most stable polymorph in this dataset is 1.71 eV/f.u.

abc: 2.728 2.728 9.608
angles: 90.00 90.00 116.72
Fractional positions:
Ir 0.500 0.500 0.500
Au 0.000 0.000 0.749
W 0.500 0.500 0.000
Au 0.000 0.000 0.251


no.,electronic total energy (eV/atom)
1,-9.7289
2,-9.1701
3,-7.3907